Record 1
{
  "formula": "Li3PrTa4O12",
  "functional": "PBE",
  "state": "relaxed",
  "sg": "No. 204",
  "e_tot_ev_per_atom": -8.602,
  "formation_energy_uncorrected_ev_per_atom": -2.73,
  "m_tot_mub_per_fu": 0.000,
  "lattice": [[6.6974, 0.0000, 0.0000], [-2.2325, 6.3144, 0.0000], [-2.2325, -3.1572, 5.4684]],
  "species": ["Ta", "Li", "Li", "Ta", "O", "O", "O", "O", "O", "Pr", "O", "Li", "O", "O", "O", "O", "O", "Ta", "O", "Ta"],
  "frac_coords": [[0.0000, 0.0000, 0.5000], [0.5000, 0.5000, 0.0000], [0.5000, 0.0000, 0.5000], [0.5000, 0.5000, 0.5000], [0.2922, 0.8121, 0.1043], [0.8121, 0.5199, 0.7078], [0.8121, 0.1043, 0.2922], [0.5199, 0.7078, 0.8121], [0.1879, 0.4801, 0.2922], [0.0000, 0.0000, 0.0000], [0.7078, 0.8121, 0.5199], [0.0000, 0.5000, 0.5000], [0.1043, 0.2922, 0.8121], [0.8957, 0.7078, 0.1879], [0.7078, 0.1879, 0.8957], [0.1879, 0.8957, 0.7078], [0.4801, 0.2922, 0.1879], [0.0000, 0.5000, 0.0000], [0.2922, 0.1879, 0.4801], [0.5000, 0.0000, 0.0000]]
}

Record 2
{
  "formula": "LiPrTc2O8",
  "functional": "PBE",
  "state": "relaxed",
  "sg": "No. 164",
  "e_tot_ev_per_atom": -7.397,
  "formation_energy_uncorrected_ev_per_atom": -1.81,
  "m_tot_mub_per_fu": 2.012,
  "lattice": [[-0.7390, -0.8664, -5.7142], [3.4585, -3.5515, 3.0618], [-5.0963, -3.8865, 1.2484]],
  "species": ["O", "Tc", "O", "Tc", "O", "Pr", "Li", "O", "O", "O", "O", "O"],
  "frac_coords": [[0.1607, 0.8393, 0.7821], [0.6667, 0.3333, 0.2849], [0.1607, 0.3214, 0.7821], [0.3333, 0.6667, 0.7151], [0.8393, 0.6786, 0.2179], [0.0000, 0.0000, 0.5000], [0.0000, 0.0000, 0.0000], [0.8393, 0.1607, 0.2179], [0.6667, 0.3333, 0.5560], [0.6786, 0.8393, 0.7821], [0.3214, 0.1607, 0.2179], [0.3333, 0.6667, 0.4440]]
}

Record 3
{
  "formula": "LiPrTcO6",
  "functional": "PBE",
  "state": "relaxed",
  "sg": "No. 143",
  "e_tot_ev_per_atom": -6.984,
  "formation_energy_uncorrected_ev_per_atom": -1.78,
  "m_tot_mub_per_fu": 1.002,
  "lattice": [[-1.2502, -2.0373, 4.4822], [1.2696, -4.8055, 1.0484], [4.3275, 1.5613, 1.9166]],
  "species": ["Tc", "O", "Pr", "O", "O", "O", "O", "Li", "O"],
  "frac_coords": [[0.3333, 0.3333, 0.4652], [0.0357, 0.3026, 0.2984], [0.0000, 0.0000, 0.9088], [0.4400, 0.0137, 0.7486], [0.5462, 0.4401, 0.7486], [0.3025, 0.6617, 0.2985], [0.0137, 0.5462, 0.7486], [0.6666, 0.6667, 0.4848], [0.6617, 0.0358, 0.2984]]
}

Record 4
{
  "formula": "LiPrTe2O8",
  "functional": "PBE",
  "state": "relaxed",
  "sg": "No. 119",
  "e_tot_ev_per_atom": -5.893,
  "formation_energy_uncorrected_ev_per_atom": -1.51,
  "m_tot_mub_per_fu": 0.000,
  "lattice": [[0.0484, -1.3548, -6.1657], [4.7523, -2.5129, 3.3098], [-5.3408, -2.4024, 2.3577]],
  "species": ["O", "O", "O", "O", "Li", "O", "Te", "O", "Pr", "O", "Te", "O"],
  "frac_coords": [[0.7675, 0.0790, 0.6885], [0.9210, 0.2325, 0.3115], [0.8645, 0.6781, 0.1865], [0.9210, 0.6095, 0.6885], [0.2500, 0.7500, 0.5000], [0.3905, 0.0790, 0.3115], [0.7500, 0.2500, 0.5000], [0.3219, 0.5084, 0.1865], [0.0000, 0.0000, 0.0000], [0.3219, 0.1355, 0.8135], [0.5000, 0.5000, 0.0000], [0.4916, 0.6781, 0.8135]]
}

Repeat the first record exactly.
{
  "formula": "Li3PrTa4O12",
  "functional": "PBE",
  "state": "relaxed",
  "sg": "No. 204",
  "e_tot_ev_per_atom": -8.602,
  "formation_energy_uncorrected_ev_per_atom": -2.73,
  "m_tot_mub_per_fu": 0.000,
  "lattice": [[6.6974, 0.0000, 0.0000], [-2.2325, 6.3144, 0.0000], [-2.2325, -3.1572, 5.4684]],
  "species": ["Ta", "Li", "Li", "Ta", "O", "O", "O", "O", "O", "Pr", "O", "Li", "O", "O", "O", "O", "O", "Ta", "O", "Ta"],
  "frac_coords": [[0.0000, 0.0000, 0.5000], [0.5000, 0.5000, 0.0000], [0.5000, 0.0000, 0.5000], [0.5000, 0.5000, 0.5000], [0.2922, 0.8121, 0.1043], [0.8121, 0.5199, 0.7078], [0.8121, 0.1043, 0.2922], [0.5199, 0.7078, 0.8121], [0.1879, 0.4801, 0.2922], [0.0000, 0.0000, 0.0000], [0.7078, 0.8121, 0.5199], [0.0000, 0.5000, 0.5000], [0.1043, 0.2922, 0.8121], [0.8957, 0.7078, 0.1879], [0.7078, 0.1879, 0.8957], [0.1879, 0.8957, 0.7078], [0.4801, 0.2922, 0.1879], [0.0000, 0.5000, 0.0000], [0.2922, 0.1879, 0.4801], [0.5000, 0.0000, 0.0000]]
}

Number 1 is which compound?
Li3PrTa4O12